Below is a relaxed structure of Cs2BaRh, with properties calculated at the GGA-PBE level.

The value obtained for the formation energy is 16.456 kcal/mol of atoms. The volume comes out at 38.631 Å³ per atom. The calculation puts the energy above the lowest structure with this stoichiometry at 12 kJ/mol of formula units. Its theoretical density is 5.4 g cm⁻³. For the final energy, the calculation gives -2.0317 eV/atom. Its crystal system is cubic. As for the magnetization: 0.000 μB/cell.

It has space group Fm-3m (No. 225), with a = 8.5183 Å, b = 8.5183 Å, c = 8.5183 Å, α = 90.00°, β = 90.00° and γ = 90.00°. The inequivalent atoms are Cs at (0.2500, 0.2500, 0.2500), Ba at (0.0000, 0.0000, 0.0000) and Rh at (0.0000, 0.0000, 0.5000).